## Hf3Sc3Bi2Os (GGA-PBE)

Data for a geometry-optimized Hf3Sc3Bi2Os structure.

Cell and atoms, written as CIF:
```
data_Hf3Sc3Bi2Os
_space_group_name_H-M_alt 'P -6 2 m'
_space_group_IT_number 189
_space_group_name_Hall 'P -6 -2'
_cell_length_a 7.8838
_cell_length_b 7.8838
_cell_length_c 3.8381
_cell_angle_alpha 90.00
_cell_angle_beta 90.00
_cell_angle_gamma 120.00
loop_
_atom_site_label
_atom_site_type_symbol
_atom_site_fract_x
_atom_site_fract_y
_atom_site_fract_z
Hf1 Hf 0.0000 0.2372 0.0000
Sc1 Sc 0.0000 0.6145 0.5000
Bi1 Bi 0.3333 0.6667 0.0000
Os1 Os 0.0000 0.0000 0.5000
```

## Properties
Volume = 22.95 A^3/atom
Magnetic moment = 0.1 μB/cell
Energy relative to the lowest polymorph listed for this composition = 0 meV per atom

---

## Tm3Hf3Bi2Os (GGA-PBE)

Data for a geometry-optimized Tm3Hf3Bi2Os structure.

Cell and atoms, written as CIF:
```
data_Tm3Hf3Bi2Os
_space_group_name_H-M_alt 'P -6 2 m'
_space_group_IT_number 189
_space_group_name_Hall 'P -6 -2'
_cell_length_a 8.0820
_cell_length_b 8.0820
_cell_length_c 3.8604
_cell_angle_alpha 90.00
_cell_angle_beta 90.00
_cell_angle_gamma 120.00
loop_
_atom_site_label
_atom_site_type_symbol
_atom_site_fract_x
_atom_site_fract_y
_atom_site_fract_z
Tm1 Tm 0.0000 0.2469 0.0000
Hf1 Hf 0.0000 0.6256 0.5000
Bi1 Bi 0.3333 0.6667 0.0000
Os1 Os 0.0000 0.0000 0.5000
```

## Properties
Volume = 24.26 A^3/atom
Magnetic moment = 0.0 μB/cell
Energy relative to the lowest polymorph listed for this composition = 247 meV per atom

---

## Tm3Hf3Bi2Os (GGA-PBE)

Data for a geometry-optimized Tm3Hf3Bi2Os structure.

Cell and atoms, written as CIF:
```
data_Tm3Hf3Bi2Os
_space_group_name_H-M_alt 'P -6 2 m'
_space_group_IT_number 189
_space_group_name_Hall 'P -6 -2'
_cell_length_a 7.9768
_cell_length_b 7.9768
_cell_length_c 4.0514
_cell_angle_alpha 90.00
_cell_angle_beta 90.00
_cell_angle_gamma 120.00
loop_
_atom_site_label
_atom_site_type_symbol
_atom_site_fract_x
_atom_site_fract_y
_atom_site_fract_z
Tm1 Tm 0.0000 0.6111 0.0000
Hf1 Hf 0.0000 0.2270 0.5000
Bi1 Bi 0.3333 0.6667 0.5000
Os1 Os 0.0000 0.0000 0.0000
```

## Properties
Volume = 24.81 A^3/atom
Magnetic moment = 0.0 μB/cell
Energy relative to the lowest polymorph listed for this composition = 0 meV per atom

---

## Y3Hf3Bi2Os (GGA-PBE)

Data for a geometry-optimized Y3Hf3Bi2Os structure.

Cell and atoms, written as CIF:
```
data_Y3Hf3Bi2Os
_space_group_name_H-M_alt 'P -6 2 m'
_space_group_IT_number 189
_space_group_name_Hall 'P -6 -2'
_cell_length_a 8.0147
_cell_length_b 8.0147
_cell_length_c 4.1141
_cell_angle_alpha 90.00
_cell_angle_beta 90.00
_cell_angle_gamma 120.00
loop_
_atom_site_label
_atom_site_type_symbol
_atom_site_fract_x
_atom_site_fract_y
_atom_site_fract_z
Y1 Y 0.0000 0.3932 0.0000
Hf1 Hf 0.0000 0.7771 0.5000
Bi1 Bi 0.3333 0.6667 0.5000
Os1 Os 0.0000 0.0000 0.0000
```

## Properties
E = -72.99 eV per cell
Volume = 25.43 A^3/atom
Magnetic moment = 0.8 μB/cell

---

## Hf4Bi3P (GGA-PBE)

Data for a geometry-optimized Hf4Bi3P structure.

Cell and atoms, written as CIF:
```
data_Hf4Bi3P
_space_group_name_H-M_alt 'P -3 m 1'
_space_group_IT_number 164
_space_group_name_Hall '-P 3 2"'
_cell_length_a 3.9616
_cell_length_b 3.9616
_cell_length_c 14.0010
_cell_angle_alpha 90.00
_cell_angle_beta 90.00
_cell_angle_gamma 120.00
loop_
_atom_site_label
_atom_site_type_symbol
_atom_site_fract_x
_atom_site_fract_y
_atom_site_fract_z
Hf1 Hf 0.3333 0.6667 0.1315
Hf2 Hf 0.3333 0.6667 0.4125
Bi1 Bi 0.0000 0.0000 0.0000
Bi2 Bi 0.3333 0.6667 0.7321
P1 P 0.0000 0.0000 0.5000
```

## Properties
E = -60.52 eV per cell
Volume = 23.79 A^3/atom
Magnetic moment = 0.0 μB/cell

---

## Hf4BiSbP2 (GGA-PBE)

Data for a geometry-optimized Hf4BiSbP2 structure.

Cell and atoms, written as CIF:
```
data_Hf4BiSbP2
_space_group_name_H-M_alt 'P -6 m 2'
_space_group_IT_number 187
_space_group_name_Hall 'P -6 2'
_cell_length_a 3.8210
_cell_length_b 3.8210
_cell_length_c 13.3231
_cell_angle_alpha 90.00
_cell_angle_beta 90.00
_cell_angle_gamma 120.00
loop_
_atom_site_label
_atom_site_type_symbol
_atom_site_fract_x
_atom_site_fract_y
_atom_site_fract_z
Hf1 Hf 0.0000 0.0000 0.1460
Hf2 Hf 0.3333 0.6667 0.3452
Bi1 Bi 0.0000 0.0000 0.5000
Sb1 Sb 0.3333 0.6667 0.0000
P1 P 0.6667 0.3333 0.2465
```

## Properties
E = -66.00 eV per cell
Volume = 21.06 A^3/atom
Magnetic moment = 0.0 μB/cell

---

## HfZrBiP (GGA-PBE)

Data for a geometry-optimized HfZrBiP structure.

Cell and atoms, written as CIF:
```
data_HfZrBiP
_space_group_name_H-M_alt 'P 63 m c'
_space_group_IT_number 186
_space_group_name_Hall 'P 6c -2c'
_cell_length_a 3.8538
_cell_length_b 3.8538
_cell_length_c 13.5646
_cell_angle_alpha 90.00
_cell_angle_beta 90.00
_cell_angle_gamma 120.00
loop_
_atom_site_label
_atom_site_type_symbol
_atom_site_fract_x
_atom_site_fract_y
_atom_site_fract_z
Hf1 Hf 0.3333 0.6667 0.0000
Zr1 Zr 0.3333 0.6667 0.3047
Bi1 Bi 0.3333 0.6667 0.6516
P1 P 0.0000 0.0000 0.4049
```

## Properties
Volume = 21.81 A^3/atom
Magnetic moment = 0.0 μB/cell
Energy relative to the lowest polymorph listed for this composition = 0 meV per atom

---

## HfZrBiP (GGA-PBE)

Data for a geometry-optimized HfZrBiP structure.

Cell and atoms, written as CIF:
```
data_HfZrBiP
_space_group_name_H-M_alt 'P -6 m 2'
_space_group_IT_number 187
_space_group_name_Hall 'P -6 2'
_cell_length_a 3.8515
_cell_length_b 3.8515
_cell_length_c 13.5625
_cell_angle_alpha 90.00
_cell_angle_beta 90.00
_cell_angle_gamma 120.00
loop_
_atom_site_label
_atom_site_type_symbol
_atom_site_fract_x
_atom_site_fract_y
_atom_site_fract_z
Hf1 Hf 0.0000 0.0000 0.1510
Zr1 Zr 0.6667 0.3333 0.3465
Bi1 Bi 0.0000 0.0000 0.5000
Bi2 Bi 0.6667 0.3333 0.0000
P1 P 0.3333 0.6667 0.2463
```

## Properties
Volume = 21.78 A^3/atom
Magnetic moment = 0.0 μB/cell
Energy relative to the lowest polymorph listed for this composition = 0 meV per atom